(1)
First-principles (PBE) data for an optimized crystal structure of CeTiGe, as listed in the Alexandria database.

abc: 5.2880 3.0310 7.9739
angles: 79.04 90.00 90.00
Last column: nearest neighbours and their distance in Å.
Sites, in units of the cell vectors:
Ce  0.7500  0.8263  0.3474  2 Ti 3.02, 2 Ce 3.03, 5 Ge 3.14-3.15
Ce  0.2500  0.1737  0.6526  2 Ti 3.02, 2 Ce 3.03, 5 Ge 3.14-3.15
Ti  0.5000  0.0000  0.0000  2 Ti 2.64, 4 Ge 2.81
Ti  0.0000  0.0000  0.0000  2 Ti 2.64, 4 Ge 2.81
Ge  0.2500  0.3750  0.2500  4 Ti 2.81, 2 Ge 3.03, 4 Ce 3.14
Ge  0.7500  0.6250  0.7500  4 Ti 2.81, 2 Ge 3.03, 4 Ce 3.14

Calculated values
As for the formation enthalpy at 0 K: -27 kJ/mol of atoms. The crystal system is orthorhombic. The calculation puts the volume at 125.5 Å³ per cell. Its space group is Cmcm. The value obtained for the density of states at the Fermi level is 6.2 states/eV/f.u. The calculation puts the size of the total moment at 2.6 μB/cell.

***

(2)
First-principles (PBE) data for an optimized crystal structure of LaPr2Pd, as listed in the Alexandria database.

abc: 6.7034 7.3425 10.2890
angles: 90.00 90.00 90.00
Last column: nearest neighbours and their distance in Å.
Sites, in units of the cell vectors:
Pd  0.5700  0.1193  0.7500  2 La 2.97-3.05, 4 Pr 3.00-3.01
Pd  0.0700  0.3807  0.2500  2 La 2.97-3.05, 4 Pr 3.00-3.01
Pd  0.4300  0.8807  0.2500  2 La 2.97-3.05, 4 Pr 3.00-3.01
Pd  0.9300  0.6193  0.7500  2 La 2.97-3.05, 4 Pr 3.00-3.01
Pr  0.3333  0.1789  0.4389  2 Pd 3.00-3.01
Pr  0.6667  0.8211  0.9389  2 Pd 3.00-3.01
Pr  0.8333  0.3211  0.5611  2 Pd 3.00-3.01
Pr  0.1667  0.6789  0.0611  2 Pd 3.00-3.01
Pr  0.3333  0.1789  0.0611  2 Pd 3.00-3.01
Pr  0.6667  0.8211  0.5611  2 Pd 3.00-3.01
Pr  0.8333  0.3211  0.9389  2 Pd 3.00-3.01
Pr  0.1667  0.6789  0.4389  2 Pd 3.00-3.01
La  0.3557  0.4740  0.7500  2 Pd 2.97-3.05
La  0.1443  0.9740  0.7500  2 Pd 2.97-3.05
La  0.6443  0.5260  0.2500  2 Pd 2.97-3.05
La  0.8557  0.0260  0.2500  2 Pd 2.97-3.05

Calculated values
As for the formation enthalpy at 0 K: -39 kJ/mol of atoms. The crystal system is orthorhombic. The calculation puts the volume at 506.4 Å³ per cell. Its space group is Pnma. The energy above the most stable polymorph in this dataset is 0 meV/atom. The value obtained for the density of states at the Fermi level is 4.9 states/eV/f.u. The calculation puts the size of the total moment at 0.0 μB/cell.

***

(3)
First-principles (PBE) data for an optimized crystal structure of Pa4CSeS2, as listed in the Alexandria database.

abc: 3.7439 7.0472 6.5537
angles: 107.62 90.00 90.00
Last column: nearest neighbours and their distance in Å.
Sites, in units of the cell vectors:
Pa  0.0000  0.2825  0.7714  2 C 2.59, 1 S 2.68, 1 Se 2.83
Pa  0.0000  0.7175  0.2286  2 C 2.59, 1 S 2.68, 1 Se 2.83
Pa  0.5000  0.2748  0.2479  1 C 2.59, 3 S 2.68-2.90, 2 Se 2.83
Pa  0.5000  0.7252  0.7521  1 C 2.59, 3 S 2.68-2.90, 2 Se 2.83
Se  0.0000  0.0000  0.0000  6 Pa 2.83
S  0.5000  0.0000  0.5000  6 Pa 2.90-2.91
S  0.0000  0.5000  0.5000  6 Pa 2.68
C  0.5000  0.5000  0.0000  6 Pa 2.59

Calculated values
The formation energy from raw total energies comes out at -9.572 eV per formula unit. The crystal system is monoclinic. The calculation puts the volume at 164.8 Å³ per cell. Its space group is P2/m. The value obtained for the density of states at the Fermi level is 10.2 states/eV/f.u. The calculation puts the size of the total moment at 0.0 μB/cell.

***

(4)
First-principles (PBE) data for an optimized crystal structure of Na4Dy3PbO8, as listed in the Alexandria database.

abc: 6.8932 6.8938 6.8938
angles: 119.98 120.00 90.00
Last column: nearest neighbours and their distance in Å.
Sites, in units of the cell vectors:
Dy  0.5000  0.5000  0.5000  6 O 2.31
Dy  0.5000  0.5000  0.0000  6 O 2.31
Dy  0.0000  0.5000  0.5000  6 O 2.31
Na  0.5000  0.0000  0.5000  6 O 2.57-2.58
Na  0.0000  0.0000  0.0000  6 O 2.57-2.58
Na  0.5000  0.0000  0.0000  6 O 2.49
Na  0.0000  0.0000  0.5000  6 O 2.57-2.58
O  0.2455  0.7183  0.9726  2 Dy 2.31, 1 Pb 2.40, 3 Na 2.49-2.58
O  0.7545  0.2817  0.5090  2 Dy 2.31, 1 Pb 2.40, 3 Na 2.49-2.57
O  0.7360  0.7081  0.4719  3 Dy 2.31, 3 Na 2.58
O  0.7545  0.2817  0.0274  2 Dy 2.31, 1 Pb 2.40, 3 Na 2.49-2.58
O  0.2455  0.7183  0.4910  2 Dy 2.31, 1 Pb 2.40, 3 Na 2.49-2.57
O  0.7272  0.7183  0.9726  2 Dy 2.31, 1 Pb 2.40, 3 Na 2.49-2.58
O  0.2640  0.2919  0.5281  3 Dy 2.31, 3 Na 2.58
O  0.2728  0.2817  0.0274  2 Dy 2.31, 1 Pb 2.40, 3 Na 2.49-2.58
Pb  0.0000  0.5000  0.0000  6 O 2.40

Calculated values
The formation energy from raw total energies comes out at -38.077 eV per formula unit. The crystal system is trigonal. The calculation puts the volume at 231.7 Å³ per cell. Its space group is R-3m. The value obtained for the density of states at the Fermi level is 1.8 states/eV/f.u. The calculation puts the size of the total moment at 0.0 μB/cell.

***

(5)
First-principles (PBE) data for an optimized crystal structure of GaReHAu2, as listed in the Alexandria database.

abc: 3.9172 4.5742 3.9172
angles: 90.00 90.00 90.00
Last column: nearest neighbours and their distance in Å.
Sites, in units of the cell vectors:
Re  0.5000  0.5000  0.5000  4 Ga 2.77, 8 Au 3.01
Au  0.0000  0.0000  0.5000  2 H 1.96
Au  0.5000  0.0000  0.0000  2 H 1.96
H  0.0000  0.0000  0.0000  4 Au 1.96
Ga  0.0000  0.5000  0.0000  2 H 2.29

Calculated values
The crystal system is tetragonal. The calculation puts the volume at 70.2 Å³ per cell. Its space group is P4/mmm. The value obtained for the density of states at the Fermi level is 3.1 states/eV/f.u. For the total energy, the calculation gives -4.471 eV/atom. The calculation puts the size of the total moment at 0.2 μB/cell.